TiAlF5 | GGA-PBE | relaxed

Lattice parameters (Å, degrees): 5.3056 5.3056 5.3056 140.08 106.76 86.83
Positions (direct):
F (0.5000, 0.0000, 0.5000)
F (0.2064, 0.5000, 0.7064)
F (0.2672, 0.2672, 0.0000)
F (0.7936, 0.5000, 0.2936)
F (0.7328, 0.7328, 0.0000)
Al (0.5000, 0.5000, 0.0000)
Ti (0.0000, 0.0000, 0.0000)

Properties
space group = No. 71
D(E_F) = 0.63 states/eV per atom
formation energy (no corrections) = -3166 meV/atom
raw total energy = -6.17 eV/atom

---

TiAlF2 | GGA-PBE | relaxed

Lattice parameters (Å, degrees): 7.7238 7.7238 7.7238 150.58 150.58 42.09
Positions (direct):
F (0.8750, 0.3112, 0.9362)
F (0.3750, 0.9388, 0.0638)
F (0.0612, 0.1250, 0.4362)
F (0.6888, 0.6250, 0.5638)
Al (0.2500, 0.7500, 0.5000)
Al (0.5000, 0.5000, 0.0000)
Ti (0.0000, 0.0000, 0.0000)
Ti (0.7500, 0.2500, 0.5000)

Properties
polymorph energy (0 for the lowest one) = 1.33 eV per formula unit
space group = No. 122
D(E_F) = 0.37 states/eV per atom
formation energy (no corrections) = -1528 meV/atom
raw total energy = -5.37 eV/atom

---

TiAl3F | GGA-PBE | relaxed

Lattice parameters (Å, degrees): 4.2476 4.2476 4.2476 90.00 90.00 90.00
Positions (direct):
Al (0.0000, 0.0000, 0.5000)
Al (0.0000, 0.5000, 0.0000)
Al (0.5000, 0.0000, 0.0000)
Ti (0.5000, 0.5000, 0.5000)
F (0.0000, 0.0000, 0.0000)

Properties
polymorph energy (0 for the lowest one) = 0.00 eV per formula unit
space group = No. 221
D(E_F) = 0.17 states/eV per atom
formation energy (no corrections) = -456 meV/atom
raw total energy = -4.65 eV/atom

---

TiAlTl2F | GGA-PBE | relaxed

Lattice parameters (Å, degrees): 5.1825 4.9533 5.1825 90.00 90.00 90.00
Positions (direct):
Tl (0.5000, 0.0000, 0.0000)
Tl (0.0000, 0.0000, 0.5000)
Al (0.0000, 0.0000, 0.0000)
F (0.5000, 0.5000, 0.5000)
Ti (0.0000, 0.5000, 0.0000)

Properties
space group = No. 123
D(E_F) = 0.74 states/eV per atom
formation energy (no corrections) = 330 meV/atom
raw total energy = -3.32 eV/atom

---

AlTl4F7 | GGA-PBE | relaxed

Lattice parameters (Å, degrees): 9.0090 9.0090 9.5873 47.70 47.70 25.27
Positions (direct):
F (0.3545, 0.3545, 0.7988)
F (0.5000, 0.5000, 0.0000)
F (0.8798, 0.8798, 0.2482)
F (0.6455, 0.6455, 0.2012)
F (0.0701, 0.0701, 0.0757)
F (0.9299, 0.9299, 0.9243)
F (0.1202, 0.1202, 0.7518)
Tl (0.7390, 0.7390, 0.8356)
Tl (0.5458, 0.5458, 0.6421)
Tl (0.4542, 0.4542, 0.3579)
Tl (0.2610, 0.2610, 0.1644)
Al (0.0000, 0.0000, 0.0000)

Properties
space group = No. 12
D(E_F) = 0.00 states/eV per atom
formation energy (no corrections) = -2360 meV/atom
raw total energy = -4.55 eV/atom

---

Al5Tl3F12 | GGA-PBE | relaxed

Lattice parameters (Å, degrees): 13.0575 13.0575 13.0575 109.47 109.47 109.47
Positions (direct):
F (0.7050, 0.5989, 0.2263)
F (0.7050, 0.1062, 0.9788)
F (0.3938, 0.3726, 0.0989)
F (0.7263, 0.2050, 0.5989)
F (0.8726, 0.0989, 0.8938)
F (0.2263, 0.0989, 0.7050)
F (0.5212, 0.7263, 0.1274)
F (0.9011, 0.1274, 0.6062)
F (0.4788, 0.2737, 0.8726)
F (0.0212, 0.6274, 0.2263)
F (0.7263, 0.5212, 0.6274)
F (0.6062, 0.6274, 0.9011)
F (0.4011, 0.1062, 0.6274)
F (0.2950, 0.4011, 0.7737)
F (0.6062, 0.9788, 0.2050)
F (0.3938, 0.0212, 0.7950)
F (0.9011, 0.7737, 0.7950)
F (0.1062, 0.4011, 0.1274)
F (0.0989, 0.8726, 0.3938)
F (0.1062, 0.7050, 0.4788)
F (0.9788, 0.3726, 0.7737)
F (0.5989, 0.8938, 0.3726)
F (0.8938, 0.5989, 0.8726)
F (0.7737, 0.9011, 0.2950)
F (0.4788, 0.2050, 0.1062)
F (0.0212, 0.3938, 0.2950)
F (0.5212, 0.7950, 0.8938)
F (0.6274, 0.6062, 0.4011)
F (0.2737, 0.4788, 0.3726)
F (0.5989, 0.7050, 0.7263)
F (0.7737, 0.8726, 0.9788)
F (0.3726, 0.3938, 0.5989)
F (0.7950, 0.2737, 0.9011)
F (0.2950, 0.8938, 0.0212)
F (0.2050, 0.4788, 0.6062)
F (0.8938, 0.2950, 0.5212)
F (0.6274, 0.0212, 0.7263)
F (0.8726, 0.7737, 0.4788)
F (0.7950, 0.5212, 0.3938)
F (0.3726, 0.9788, 0.2737)
F (0.9788, 0.6062, 0.7050)
F (0.1274, 0.9011, 0.1062)
F (0.4011, 0.2950, 0.2737)
F (0.2737, 0.7950, 0.4011)
F (0.2050, 0.7263, 0.0989)
F (0.1274, 0.2263, 0.5212)
F (0.2263, 0.1274, 0.0212)
F (0.0989, 0.2263, 0.2050)
Tl (0.6250, 0.3750, 0.7500)
Tl (0.7500, 0.3750, 0.1250)
Tl (0.8750, 0.1250, 0.2500)
Tl (0.6250, 0.2500, 0.3750)
Tl (0.7500, 0.8750, 0.6250)
Tl (0.1250, 0.2500, 0.8750)
Tl (0.3750, 0.6250, 0.2500)
Tl (0.2500, 0.1250, 0.3750)
Tl (0.1250, 0.8750, 0.7500)
Tl (0.2500, 0.6250, 0.8750)
Tl (0.8750, 0.7500, 0.1250)
Tl (0.3750, 0.7500, 0.6250)
Al (0.2500, 0.3750, 0.6250)
Al (0.7500, 0.1250, 0.8750)
Al (0.8750, 0.2500, 0.6250)
Al (0.7500, 0.6250, 0.3750)
Al (0.3750, 0.1250, 0.7500)
Al (0.6250, 0.8750, 0.2500)
Al (0.0000, 0.0000, 0.0000)
Al (0.2500, 0.8750, 0.1250)
Al (0.5000, 0.0000, 0.0000)
Al (0.0000, 0.5000, 0.5000)
Al (0.5000, 0.0000, 0.5000)
Al (0.1250, 0.3750, 0.2500)
Al (0.8750, 0.6250, 0.7500)
Al (0.0000, 0.0000, 0.5000)
Al (0.6250, 0.7500, 0.8750)
Al (0.3750, 0.2500, 0.1250)
Al (0.5000, 0.5000, 0.5000)
Al (0.1250, 0.7500, 0.3750)
Al (0.5000, 0.5000, 0.0000)
Al (0.0000, 0.5000, 0.0000)

Properties
space group = No. 230
D(E_F) = 0.14 states/eV per atom
formation energy (no corrections) = -2384 meV/atom
raw total energy = -4.80 eV/atom

---

AlTlF5 | GGA-PBE | relaxed

Lattice parameters (Å, degrees): 3.7291 5.6960 5.6960 74.39 70.89 70.89
Positions (direct):
F (0.0000, 0.5000, 0.5000)
F (0.7157, 0.2843, 0.2843)
F (0.5000, 0.2278, 0.7722)
F (0.5000, 0.7722, 0.2278)
F (0.2843, 0.7157, 0.7157)
Tl (0.0000, 0.0000, 0.0000)
Al (0.5000, 0.5000, 0.5000)

Properties
space group = No. 71
D(E_F) = 0.26 states/eV per atom
formation energy (no corrections) = -2722 meV/atom
raw total energy = -4.93 eV/atom

---

Al3Tl6F14 | GGA-PBE | relaxed

Lattice parameters (Å, degrees): 5.7846 10.0365 10.0365 120.00 90.00 90.00
Positions (direct):
Tl (0.8335, 0.9853, 0.4413)
Tl (0.2733, 0.7663, 0.0619)
Tl (0.2733, 0.9381, 0.7044)
Tl (0.8335, 0.5587, 0.5440)
Tl (0.2733, 0.2956, 0.2337)
Tl (0.8335, 0.4560, 0.0147)
F (0.4734, 0.2977, 0.4924)
F (0.5162, 0.0000, 0.0000)
F (0.4734, 0.5076, 0.8052)
F (0.0785, 0.3333, 0.6667)
F (0.2565, 0.5442, 0.1635)
F (0.9188, 0.8277, 0.8593)
F (0.9188, 0.1407, 0.9684)
F (0.2565, 0.8365, 0.3807)
F (0.6218, 0.7180, 0.2165)
F (0.9188, 0.0316, 0.1723)
F (0.6218, 0.7835, 0.5015)
F (0.4734, 0.1948, 0.7023)
F (0.2565, 0.6193, 0.4558)
F (0.6218, 0.4985, 0.2820)
Al (0.8116, 0.0000, 0.0000)
Al (0.4329, 0.6667, 0.3333)
Al (0.3719, 0.3333, 0.6667)

Properties
space group = No. 143
D(E_F) = 0.14 states/eV per atom
formation energy (no corrections) = -2585 meV/atom
raw total energy = -4.83 eV/atom

---

Question: Among the records above, which one has the highest D(E_F)?
Answer: TiAlTl2F

---

Question: Number 3 is which compound?
Answer: TiAl3F